! P2PtBr, optimized geometry, DFT GGA-PBE; values from VASP
&SYSTEM
  ibrav = 0, nat = 4, ntyp = 3
/
ATOMIC_SPECIES
P 30.97 P.upf
Br 79.90 Br.upf
Pt 195.08 Pt.upf
CELL_PARAMETERS angstrom
4.4623 -0.0744 0.0000
-3.1190 3.1921 0.0000
0.0000 0.0000 8.1054
ATOMIC_POSITIONS angstrom
P 0.6716 1.5589 2.1201
P 0.0000 0.0000 0.7501
Br 0.6716 1.5589 5.6013
Pt 0.0000 0.0000 3.6865
! - SG: Cmm2 (35)
! - ρ: 4.93 g cm⁻³
! - Raw formation energy: 0.29 eV per atom